DFT (GGA-PBE) results for an optimized crystal structure of LiInPb3.

```
data_LiInPb3
_symmetry_space_group_name_H-M 'P m -3 m'
_symmetry_Int_Tables_number 221
_symmetry_space_group_name_Hall '-P 4 2 3'
_cell_length_a 5.8216
_cell_length_b 5.8216
_cell_length_c 5.8216
_cell_angle_alpha 90.00
_cell_angle_beta 90.00
_cell_angle_gamma 90.00
loop_
_atom_site_label
_atom_site_type_symbol
_atom_site_fract_x
_atom_site_fract_y
_atom_site_fract_z
_atom_site_occupancy
Li1 Li 0.0000 0.0000 0.0000 1
In1 In 0.5000 0.5000 0.5000 1
Pb1 Pb 0.0000 0.5000 0.5000 1
```

Results
The calculation puts the density of states at the Fermi level at 2.83 states/eV per cell. The energy relative to the lowest polymorph listed for this composition is 0.474 eV per atom. The value obtained for the energy relative to the elements is 2.034 eV per formula unit.